{"formula": "CsGaHSe2", "functional": "PBE", "state": "relaxed", "total_energy_ev_per_atom": -2.689, "crystal_system": "tetragonal", "lattice_angstrom": [[4.8909, 0.0000, 0.0000], [0.0000, 4.9919, 0.0000], [0.0000, 0.0000, 4.8909]], "species": ["Cs", "H", "Ga", "Se", "Se"], "frac_coords": [[0.5000, 0.5000, 0.5000], [0.0000, 0.0000, 0.0000], [0.0000, 0.5000, 0.0000], [0.0000, 0.0000, 0.5000], [0.5000, 0.0000, 0.0000]]}

{"formula": "CsGaTcH6", "functional": "PBE", "state": "relaxed", "total_energy_ev_per_atom": -3.909, "crystal_system": "monoclinic", "lattice_angstrom": [[-1.8871, 3.8548, -1.9454], [-0.8701, 0.2701, -4.6220], [-5.6979, -2.5762, 1.2906]], "species": ["Cs", "Ga", "Tc", "H", "H", "H", "H", "H", "H"], "frac_coords": [[0.9967, 0.9971, 0.0193], [0.7037, 0.7036, 0.5363], [0.3348, 0.3349, 0.5135], [0.0610, 0.4903, 0.3101], [0.1329, 0.1331, 0.5019], [0.5097, 0.5099, 0.6932], [0.2691, 0.2700, 0.7608], [0.5015, 0.5008, 0.3546], [0.4903, 0.0604, 0.3102]]}

{"formula": "CsTiGaH2", "functional": "PBE", "state": "relaxed", "total_energy_ev_per_atom": -2.431, "crystal_system": "tetragonal", "lattice_angstrom": [[4.1450, 0.0000, 0.0000], [0.0000, 7.4771, 0.0000], [0.0000, 0.0000, 4.1450]], "species": ["Cs", "H", "H", "Ga", "Ti"], "frac_coords": [[0.0000, 0.0000, 0.0000], [0.0000, 0.0000, 0.5000], [0.5000, 0.0000, 0.0000], [0.0000, 0.5000, 0.0000], [0.5000, 0.5000, 0.5000]]}

{"formula": "CsHf3Ga", "functional": "PBE", "state": "relaxed", "de_polymorph_mev_per_atom": 1213, "crystal_system": "cubic", "delta_e_f_mev_per_atom": 2319, "lattice_angstrom": [[-1.1108, 1.7906, -4.8121], [-2.6856, -4.3988, -1.0168], [-4.3760, 2.2451, 1.8456]], "species": ["Cs", "Hf", "Hf", "Hf", "Ga"], "frac_coords": [[0.0000, 0.0000, 0.0000], [0.0000, 0.5000, 0.0000], [0.0000, 0.0000, 0.5000], [0.5000, 0.0000, 0.0000], [0.5000, 0.5000, 0.5000]]}

{"formula": "CsHf3Ga", "functional": "PBE", "state": "relaxed", "de_polymorph_mev_per_atom": 0, "crystal_system": "cubic", "delta_e_f_mev_per_atom": 1106, "lattice_angstrom": [[-2.1868, 1.8456, -4.3761], [4.0509, -1.7902, -2.7792], [-2.4793, -4.5527, -0.6812]], "species": ["Cs", "Hf", "Hf", "Hf", "Ga"], "frac_coords": [[0.5000, 0.5000, 0.5000], [0.0000, 0.5000, 0.0000], [0.0000, 0.0000, 0.5000], [0.5000, 0.0000, 0.0000], [0.0000, 0.0000, 0.0000]]}

{"formula": "CsHfGa2Hg", "functional": "PBE", "state": "relaxed", "crystal_system": "tetragonal", "delta_e_f_mev_per_atom": 1147, "lattice_angstrom": [[5.2638, 0.0000, 0.0000], [0.0000, 6.0960, 0.0000], [0.0000, 0.0000, 5.2638]], "species": ["Cs", "Hf", "Hg", "Ga", "Ga"], "frac_coords": [[0.0000, 0.5000, 0.0000], [0.5000, 0.5000, 0.5000], [0.0000, 0.0000, 0.0000], [0.0000, 0.0000, 0.5000], [0.5000, 0.0000, 0.0000]]}